Record 1
DFT (PBEsol) results for a relaxed AlAg3 crystal.

The structure in CIF format:
```
data_AlAg3
_chemical_formula_sum 'Al2 Ag6'
_cell_length_a 4.886
_cell_length_b 4.914
_cell_length_c 5.692
_cell_angle_alpha 90.36
_cell_angle_beta 106.04
_cell_angle_gamma 99.83
_symmetry_space_group_name_H-M 'P -1'
_symmetry_Int_Tables_number 2
loop_
_symmetry_equiv_pos_as_xyz
'x,y,z'
'-x,-y,-z'
loop_
_atom_site_label
_atom_site_type_symbol
_atom_site_fract_x
_atom_site_fract_y
_atom_site_fract_z
Al1 Al 0.244 0.366 0.305
Ag1 Ag 0.244 0.874 0.061
Ag2 Ag 0.248 0.866 0.557
Ag3 Ag 0.260 0.380 0.805
```

Output
DFT total energy	-28.76	eV per cell
M_tot	0.000	Bohr magnetons per cell
V	16.15	Å³/atom
E_form	-0.09	eV/atom
DOS at the Fermi energy	1.185	states/eV/f.u.


Record 2
DFT (PBEsol) results for a relaxed Li2BeIr crystal.

The structure in CIF format:
```
data_Li2BeIr
_chemical_formula_sum 'Li4 Be2 Ir2'
_cell_length_a 2.865
_cell_length_b 3.693
_cell_length_c 8.476
_cell_angle_alpha 90.00
_cell_angle_beta 90.00
_cell_angle_gamma 90.00
_symmetry_space_group_name_H-M 'I m m m'
_symmetry_Int_Tables_number 71
_symmetry_space_group_name_Hall '-I 2 2'
loop_
_atom_site_label
_atom_site_type_symbol
_atom_site_fract_x
_atom_site_fract_y
_atom_site_fract_z
Li1 Li 0.000 0.000 0.236
Be1 Be 0.000 0.500 0.500
Ir1 Ir 0.000 0.500 0.000
```

Output
DFT total energy	-37.24	eV per cell
M_tot	0.000	Bohr magnetons per cell
V	11.21	Å³/atom
E_form	-0.22	eV/atom
DOS at the Fermi energy	1.133	states/eV/f.u.


Record 3
DFT (PBEsol) results for a relaxed LaAlAs2 crystal.

The structure in CIF format:
```
data_LaAlAs2
_chemical_formula_sum 'La3 Al3 As6'
_cell_length_a 4.0836
_cell_length_b 4.0836
_cell_length_c 18.9968
_cell_angle_alpha 90.00
_cell_angle_beta 90.00
_cell_angle_gamma 120.00
_symmetry_space_group_name_H-M 'R -3 m'
_symmetry_Int_Tables_number 166
_symmetry_space_group_name_Hall '-R 3 2"'
loop_
_atom_site_label
_atom_site_type_symbol
_atom_site_fract_x
_atom_site_fract_y
_atom_site_fract_z
La1 La 0.0000 0.0000 0.0000
Al1 Al 0.0000 0.0000 0.5000
As1 As 0.0000 0.0000 0.2361
```

Output
DFT total energy	-68.11	eV per cell
M_tot	0.000	Bohr magnetons per cell
V	22.86	Å³/atom
E_form	-0.76	eV/atom
DOS at the Fermi energy	0.325	states/eV/f.u.


Please write out number 2 again, unchanged.
DFT (PBEsol) results for a relaxed Li2BeIr crystal.

The structure in CIF format:
```
data_Li2BeIr
_chemical_formula_sum 'Li4 Be2 Ir2'
_cell_length_a 2.865
_cell_length_b 3.693
_cell_length_c 8.476
_cell_angle_alpha 90.00
_cell_angle_beta 90.00
_cell_angle_gamma 90.00
_symmetry_space_group_name_H-M 'I m m m'
_symmetry_Int_Tables_number 71
_symmetry_space_group_name_Hall '-I 2 2'
loop_
_atom_site_label
_atom_site_type_symbol
_atom_site_fract_x
_atom_site_fract_y
_atom_site_fract_z
Li1 Li 0.000 0.000 0.236
Be1 Be 0.000 0.500 0.500
Ir1 Ir 0.000 0.500 0.000
```

Output
DFT total energy	-37.24	eV per cell
M_tot	0.000	Bohr magnetons per cell
V	11.21	Å³/atom
E_form	-0.22	eV/atom
DOS at the Fermi energy	1.133	states/eV/f.u.